# ZnTe2Ir

A relaxed ZnTe2Ir crystal (PBE-GGA, Alexandria).

Computed properties:
As for the uncorrected formation energy: -0.007 eV/atom. The density of states at the Fermi level comes out at 0.462 states/eV/atom. For the raw total energy, the calculation gives -0.151 hartree per atom. Its magnetization is 0.00 μB/cell. The value obtained for the mass density is 9.53 g cm⁻³.

a = 4.623 Å, b = 4.519 Å, c = 4.518 Å
α = 71.17°, β = 90.00°, γ = 90.00°
Sites, in units of the cell vectors:
Zn  0.000  0.538  0.538
Te  0.000  0.913  0.913
Te  0.500  0.330  0.330
Ir  0.500  0.719  0.719